1.
First-principles (PBE) data for a relaxed FeOs2Ru crystal, as listed in Alexandria via LeMat-Bulk.

Cell: 5.333 7.567 2.684 Å, 90.00 90.00 90.00°
Fractional positions:
Fe1 0.000 0.000 0.000
Fe2 0.500 0.500 0.000
Os1 0.250 0.250 0.500
Os2 0.250 0.750 0.500
Os3 0.750 0.250 0.500
Os4 0.750 0.750 0.500
Ru1 0.000 0.500 0.000
Ru2 0.500 0.000 0.000

Calculated values
symmetry: Cmmm
energy relative to the elements: 16.4 kJ/mol of atoms
volume: 108.3 Å³ per cell
total moment: 0.34 μB per atom
DOS at the Fermi energy: 8.92 states/eV per cell

2.
First-principles (PBE) data for a relaxed Fe2OsRu crystal, as listed in Alexandria via LeMat-Bulk.

Cell: 5.983 5.983 5.983 Å, 90.00 90.00 90.00°
Fractional positions:
Fe1 0.000 0.000 0.000
Fe2 0.000 0.500 0.500
Fe3 0.250 0.250 0.250
Fe4 0.250 0.750 0.750
Fe5 0.500 0.000 0.500
Fe6 0.500 0.500 0.000
Fe7 0.750 0.250 0.750
Fe8 0.750 0.750 0.250
Os1 0.250 0.250 0.750
Os2 0.250 0.750 0.250
Os3 0.750 0.250 0.250
Os4 0.750 0.750 0.750
Ru1 0.000 0.000 0.500
Ru2 0.000 0.500 0.000
Ru3 0.500 0.000 0.000
Ru4 0.500 0.500 0.500

Calculated values
symmetry: F-43m
energy relative to the elements: 27.4 kJ/mol of atoms
volume: 214.2 Å³ per cell
total moment: 1.59 μB per atom
DOS at the Fermi energy: 17.31 states/eV per cell

3.
First-principles (PBE) data for a relaxed Fe2OsRu crystal, as listed in Alexandria via LeMat-Bulk.

Cell: 3.954 2.620 9.496 Å, 90.00 90.00 90.00°
Fractional positions:
Fe1 0.000 0.000 0.000
Fe2 0.000 0.500 0.500
Fe3 0.500 0.000 0.130
Fe4 0.500 0.500 0.630
Os1 0.000 0.000 0.733
Os2 0.000 0.500 0.233
Ru1 0.500 0.000 0.397
Ru2 0.500 0.500 0.897

Calculated values
symmetry: Amm2
energy relative to the elements: 9.8 kJ/mol of atoms
volume: 98.4 Å³ per cell
total moment: 0.10 μB per atom
DOS at the Fermi energy: 8.11 states/eV per cell

4.
First-principles (PBE) data for a relaxed Fe2OsRu crystal, as listed in Alexandria via LeMat-Bulk.

Cell: 3.696 3.696 3.611 Å, 90.00 90.00 90.00°
Fractional positions:
Fe1 0.000 0.500 0.000
Fe2 0.500 0.000 0.000
Os1 0.000 0.000 0.500
Ru1 0.500 0.500 0.500

Calculated values
symmetry: P4/mmm
energy relative to the elements: 15.6 kJ/mol of atoms
volume: 49.3 Å³ per cell
total moment: 0.00 μB per atom
DOS at the Fermi energy: 4.28 states/eV per cell